Compound: ThTc2W
Source: Alexandria
Functional: PBE
Structure: optimized geometry

Properties
* DFT formation energy: 0.10 eV per atom
* symmetry: P4/mmm (123)
* DOS at the Fermi energy: 5.19 states/eV/cell

```
ThTc2W
1.0
3.190 0.000 0.000
0.000 3.190 0.000
0.000 0.000 7.329
W Th Tc
1 1 2
Cartesian
1.595 1.595 0.000
1.595 1.595 3.664
0.000 0.000 5.838
0.000 0.000 1.491
```

---

Compound: Y3ThTc
Source: Alexandria
Functional: PBE
Structure: optimized geometry

Properties
* DFT formation energy: -0.07 eV per atom
* symmetry: Cm (8)
* DOS at the Fermi energy: 9.68 states/eV/cell

```
Y3ThTc
1.0
3.903 0.000 0.641
1.869 5.994 0.823
0.008 -0.174 12.150
Y Th Tc
6 2 2
Cartesian
3.537 5.604 2.866
4.320 4.231 10.298
0.727 0.939 7.775
4.091 0.573 11.692
3.155 0.084 5.193
2.830 3.582 7.169
1.341 2.776 4.033
1.903 3.241 0.618
3.605 1.967 2.453
2.382 2.212 9.897
```

---

Compound: YTh2Tc
Source: Alexandria
Functional: PBE
Structure: optimized geometry

Properties
* DFT formation energy: 0.03 eV per atom
* distance to the lowest polymorph of the same formula: 150 meV/atom
* symmetry: P4/mmm (123)
* DOS at the Fermi energy: 7.08 states/eV/cell

```
YTh2Tc
1.0
3.550 0.000 0.000
0.000 3.550 0.000
0.000 0.000 8.773
Y Tc Th
1 1 2
Cartesian
1.775 1.775 4.387
1.775 1.775 0.000
0.000 0.000 7.004
0.000 0.000 1.769
```

---

Compound: YTh4Tc2
Source: Alexandria
Functional: PBE
Structure: optimized geometry

Properties
* DFT formation energy: -0.03 eV per atom
* symmetry: P2_1/m (11)
* DOS at the Fermi energy: 15.67 states/eV/cell

```
YTh4Tc2
1.0
6.651 0.000 0.000
0.000 7.318 -2.975
0.000 0.004 7.911
Y Th Tc
2 8 4
Cartesian
1.663 6.114 5.221
4.988 1.209 -0.285
3.338 2.959 4.776
1.663 1.685 1.818
4.988 5.637 3.119
6.638 2.959 4.776
4.988 0.184 2.959
0.013 4.364 0.160
3.313 4.364 0.160
1.663 7.138 1.978
1.663 1.817 7.055
4.988 5.505 -2.118
4.988 2.774 2.244
1.663 4.549 2.692
```

---

Compound: YTh2Tc
Source: Alexandria
Functional: PBE
Structure: optimized geometry

Properties
* DFT formation energy: -0.12 eV per atom
* distance to the lowest polymorph of the same formula: 0 meV/atom
* symmetry: Pnma (62)
* DOS at the Fermi energy: 18.80 states/eV/cell

```
YTh2Tc
1.0
-6.278 0.209 -0.614
-0.578 -6.242 3.784
-0.643 5.095 8.304
Y Th Tc
4 8 4
Cartesian
-4.511 -1.966 3.727
-5.563 1.199 1.703
-2.988 1.028 7.748
-1.936 -2.137 9.771
-1.480 -3.826 2.957
-2.466 1.234 4.068
-5.778 0.983 5.413
-5.274 -0.268 10.511
-6.019 2.887 8.518
-5.033 -2.172 7.407
-1.721 -1.921 6.061
-2.225 -0.671 0.963
-0.998 -1.124 3.482
-3.199 -4.182 5.187
-6.501 0.186 7.992
-4.300 3.243 6.287
```

---

Compound: Y3Th2Tc2
Source: Alexandria
Functional: PBE
Structure: optimized geometry

Properties
* DFT formation energy: -0.10 eV per atom
* symmetry: C2/m (12)
* DOS at the Fermi energy: 6.73 states/eV/cell

```
Y3Th2Tc2
1.0
-3.679 -0.922 1.117
2.766 -5.275 -2.236
4.072 1.398 7.545
Y Th Tc
3 2 2
Cartesian
-1.840 -0.461 0.559
3.896 -3.723 2.760
-0.738 -1.077 3.666
2.243 -1.989 5.732
0.915 -2.810 0.695
3.078 -4.095 -0.240
0.080 -0.705 6.666
```

---

Compound: YThTc2
Source: Alexandria
Functional: PBE
Structure: optimized geometry

Properties
* DFT formation energy: 0.01 eV per atom
* distance to the lowest polymorph of the same formula: 18 meV/atom
* symmetry: P4/mmm (123)
* DOS at the Fermi energy: 5.62 states/eV/cell

```
YThTc2
1.0
-2.241 -1.197 -2.399
1.397 -3.190 0.286
-4.574 -1.551 5.047
Y Tc Th
1 2 1
Cartesian
-2.709 -2.969 1.467
-3.519 -1.194 3.883
-1.055 -0.358 1.164
-0.422 -2.193 -1.057
```

---

Compound: YThTc
Source: Alexandria
Functional: PBE
Structure: optimized geometry

Properties
* DFT formation energy: 0.06 eV per atom
* distance to the lowest polymorph of the same formula: 131 meV/atom
* symmetry: R-3m (166)
* DOS at the Fermi energy: 6.12 states/eV/cell

```
YThTc
1.0
4.642 0.000 0.000
-2.321 3.796 -1.323
0.000 0.310 9.051
Y Th Tc
2 2 2
Cartesian
0.000 2.839 0.007
2.321 1.266 7.721
2.321 2.295 2.523
0.000 1.810 5.205
2.321 3.358 5.575
0.000 0.747 2.153
```

---

Compound: YThTc
Source: Alexandria
Functional: PBE
Structure: optimized geometry

Properties
* DFT formation energy: 0.02 eV per atom
* distance to the lowest polymorph of the same formula: 85 meV/atom
* symmetry: F-43m (216)
* DOS at the Fermi energy: 2.83 states/eV/cell

```
YThTc
1.0
4.880 0.000 0.000
2.440 4.226 0.000
2.440 1.409 3.984
Y Tc Th
1 1 1
Cartesian
0.000 0.000 0.000
2.440 1.409 0.996
4.880 2.817 1.992
```

---

Compound: YThTc
Source: Alexandria
Functional: PBE
Structure: optimized geometry

Properties
* DFT formation energy: -0.05 eV per atom
* distance to the lowest polymorph of the same formula: 23 meV/atom
* symmetry: Fdd2 (43)
* DOS at the Fermi energy: 7.82 states/eV/cell

```
YThTc
1.0
-0.709 7.078 -2.171
-4.205 -4.064 -4.595
-2.451 -0.810 7.258
Y Th Tc
4 4 4
Cartesian
-3.186 3.305 -3.029
-1.999 5.468 -0.008
-4.439 2.811 0.581
-5.001 -0.598 2.390
-2.743 0.208 -0.746
-2.648 4.011 3.799
-4.642 -1.853 -3.204
-2.091 0.443 4.724
-4.265 -2.142 4.652
-5.019 1.293 -2.028
-0.988 3.051 -1.253
-2.692 1.123 2.045
```

---

Compound: YThTc
Source: Alexandria
Functional: PBE
Structure: optimized geometry

Properties
* DFT formation energy: -0.07 eV per atom
* distance to the lowest polymorph of the same formula: 0 meV/atom
* symmetry: I4mm (107)
* DOS at the Fermi energy: 2.17 states/eV/cell

```
YThTc
1.0
3.488 0.000 0.000
0.000 3.488 0.000
-1.744 -1.744 6.481
Y Tc Th
1 1 1
Cartesian
0.000 0.000 0.428
1.744 1.744 2.217
0.000 0.000 3.835
```

---

Compound: Y3Th3Tc2
Source: Alexandria
Functional: PBE
Structure: optimized geometry

Properties
* DFT formation energy: 0.06 eV per atom
* symmetry: Cmcm (63)
* DOS at the Fermi energy: 16.88 states/eV/cell

```
Y3Th3Tc2
1.0
-1.456 -3.287 0.407
7.007 -1.066 0.368
-0.591 2.578 18.708
Y Th Tc
6 6 4
Cartesian
4.457 -2.915 8.475
0.307 1.995 17.208
4.653 -3.770 2.276
0.503 1.141 11.009
1.468 -2.010 5.094
3.492 0.236 14.389
1.218 -1.462 8.631
3.517 0.666 17.951
1.443 -2.440 1.532
3.741 -0.313 10.853
5.220 -1.672 5.166
-0.260 -0.103 14.317
1.408 -0.589 16.363
3.432 -0.666 6.897
1.528 -1.109 12.586
3.551 -1.186 3.120
```

---

Compound: Y4ThTc2
Source: Alexandria
Functional: PBE
Structure: optimized geometry

Properties
* DFT formation energy: -0.02 eV per atom
* symmetry: P2_1/m (11)
* DOS at the Fermi energy: 13.28 states/eV/cell

```
Y4ThTc2
1.0
-2.640 -5.629 -1.409
7.087 -3.549 0.901
-4.068 0.225 6.724
Y Th Tc
8 2 4
Cartesian
-1.476 -4.128 4.791
-0.225 -2.215 2.062
0.603 -6.737 4.154
-2.788 -6.925 4.091
-3.407 -4.225 1.630
3.166 -2.028 2.125
1.854 -4.825 1.425
3.785 -4.728 4.586
1.381 -4.170 6.863
-1.003 -4.783 -0.647
-2.965 -2.006 6.361
3.343 -6.947 -0.145
-0.996 -5.469 2.084
1.375 -3.484 4.132
```

---

Compound: Y2ThTc
Source: Alexandria
Functional: PBE
Structure: optimized geometry

Properties
* DFT formation energy: -0.16 eV per atom
* symmetry: Pnma (62)
* DOS at the Fermi energy: 18.47 states/eV/cell

```
Y2ThTc
1.0
-1.299 -3.450 5.232
0.299 -6.173 -3.996
9.367 -0.737 1.839
Y Th Tc
8 4 4
Cartesian
0.604 -4.801 -1.679
3.684 -2.532 1.823
4.328 -5.289 4.080
8.118 -8.099 1.927
7.763 -5.559 4.755
4.683 -7.828 1.253
4.039 -5.072 -1.005
0.248 -2.262 1.149
1.670 -5.805 1.629
1.245 -3.450 4.737
6.697 -4.556 1.447
7.122 -6.911 -1.661
2.437 -2.520 -0.963
1.968 -7.250 -0.470
5.929 -7.840 4.039
6.399 -3.111 3.545
```

---

Compound: YTh2Tc
Source: Alexandria
Functional: PBE
Structure: optimized geometry

Properties
* DFT formation energy: 0.31 eV per atom
* distance to the lowest polymorph of the same formula: 434 meV/atom
* symmetry: R-3m (166)
* DOS at the Fermi energy: 5.32 states/eV/cell

```
YTh2Tc
1.0
3.833 0.000 0.000
1.917 3.320 0.000
1.917 1.107 10.260
Y Tc Th
1 1 2
Cartesian
0.000 0.000 0.000
3.833 2.213 5.130
1.917 1.107 6.811
5.750 3.320 3.449
```

---

Compound: YThTc4
Source: Alexandria
Functional: PBE
Structure: optimized geometry

Properties
* DFT formation energy: -0.08 eV per atom
* symmetry: F-43m (216)
* DOS at the Fermi energy: 12.04 states/eV/cell

```
YThTc4
1.0
-3.007 -3.764 2.578
1.338 -1.569 5.060
-3.144 1.443 4.229
Y Tc Th
1 4 1
Cartesian
0.000 0.000 0.000
-1.435 -3.154 5.302
-3.679 -1.647 4.886
-3.009 -2.432 7.419
-1.504 -0.548 6.128
-1.203 -0.973 2.967
```

---

Compound: YTh2Tc9
Source: Alexandria
Functional: PBE
Structure: optimized geometry

Properties
* DFT formation energy: -0.02 eV per atom
* symmetry: P-1 (2)
* DOS at the Fermi energy: 12.95 states/eV/cell

```
YTh2Tc9
1.0
-0.730 3.304 -4.408
-4.404 3.065 -0.485
2.671 8.112 3.141
Y Th Tc
1 2 9
Cartesian
0.000 0.000 0.000
-3.258 8.899 -2.841
0.794 5.583 1.089
-3.351 4.198 -3.055
0.887 10.284 1.303
-1.232 7.241 -0.876
-1.497 4.742 -1.239
-1.849 6.211 -3.572
-3.816 6.114 -1.413
-0.967 9.740 -0.513
1.353 8.367 -0.339
-0.614 8.271 1.820
```

---

Compound: YThTc2
Source: Alexandria
Functional: PBE
Structure: optimized geometry

Properties
* DFT formation energy: -0.01 eV per atom
* distance to the lowest polymorph of the same formula: 0 meV/atom
* symmetry: Fm-3m (225)
* DOS at the Fermi energy: 4.00 states/eV/cell

```
YThTc2
1.0
4.919 0.000 0.000
2.460 4.260 0.000
2.460 1.420 4.016
Y Tc Th
1 2 1
Cartesian
4.919 2.840 2.008
2.460 1.420 1.004
7.379 4.260 3.012
0.000 0.000 0.000
```

---

Compound: Y3Th3ZnTc2
Source: Alexandria
Functional: PBE
Structure: optimized geometry

Properties
* DFT formation energy: -0.03 eV per atom
* symmetry: P-62m (189)
* DOS at the Fermi energy: 11.26 states/eV/cell

```
Y3Th3ZnTc2
1.0
4.172 0.000 0.000
0.000 7.953 0.000
0.000 -3.977 6.888
Y Th Zn Tc
3 3 1 2
Cartesian
2.086 5.906 0.000
2.086 -2.953 5.115
2.086 1.023 1.772
0.000 2.295 3.976
0.000 -1.681 2.912
0.000 3.362 0.000
0.000 0.000 0.000
2.086 3.977 2.296
2.086 0.000 4.592
```

---

Compound: Th2Zn16Tc
Source: Alexandria
Functional: PBE
Structure: optimized geometry

Properties
* DFT formation energy: -0.18 eV per atom
* symmetry: R3m (160)
* DOS at the Fermi energy: 10.03 states/eV/cell

```
Th2Zn16Tc
1.0
-2.150 -2.128 6.139
0.078 -6.694 -1.421
6.200 -1.279 2.600
Th Zn Tc
2 16 1
Cartesian
2.789 -6.824 4.944
1.418 -3.469 2.513
0.282 -8.557 3.698
2.307 -4.915 7.583
5.637 -6.656 3.301
-0.349 -7.264 5.839
4.671 -4.675 6.581
3.904 -8.189 2.163
1.505 -6.836 1.912
0.425 -4.621 5.577
4.473 -4.210 3.861
2.643 -3.252 5.455
3.744 -5.509 1.719
-0.383 -5.928 3.468
4.076 -6.763 7.996
5.176 -9.018 4.263
1.053 -9.437 6.011
0.413 -1.010 0.731
3.689 -9.026 6.539
```